Below is DyAlCo2C after structural relaxation, with properties calculated at the PBE-GGA level.

Lattice parameters (Å, degrees): 5.653 5.653 6.838 90.00 90.00 140.67
Positions (direct):
Dy 0.053 0.947 0.750
Dy 0.947 0.053 0.250
Al 0.227 0.773 0.250
Al 0.773 0.227 0.750
Co 0.340 0.660 0.559
Co 0.340 0.660 0.941
Co 0.660 0.340 0.059
Co 0.660 0.340 0.441
C 0.500 0.500 0.000
C 0.500 0.500 0.500

Total magnetization   0.0 μB/f.u.
Space-group type   No. 63
Electronic total energy   -6.749 eV per atom
Crystal system   orthorhombic
DFT formation energy   -0.392 eV/atom